Record 1
Entry from the Alexandria database: a geometry-optimized NiTeNF2 structure (PBE+U).

a = 3.7525 Å, b = 3.7525 Å, c = 4.8207 Å
α = 90.00°, β = 90.00°, γ = 90.00°
Fractional coordinates of all 5 atoms:
Ni (0.0000, 0.0000, 0.0000)
Te (0.5000, 0.5000, 0.5000)
N (0.0000, 0.0000, 0.5000)
F (0.0000, 0.5000, 0.0000)
F (0.5000, 0.0000, 0.0000)

Values from the calculation:
VASP energy: -3.892 eV per atom
Offset from the most stable computed form: 0 meV per atom

Record 2
Entry from the Alexandria database: a geometry-optimized NiTe2NF structure (PBE+U).

a = 5.2151 Å, b = 5.2151 Å, c = 3.3571 Å
α = 90.00°, β = 90.00°, γ = 90.00°
Fractional coordinates of all 5 atoms:
Ni (0.0000, 0.0000, 0.0000)
Te (0.0000, 0.5000, 0.0000)
Te (0.5000, 0.0000, 0.0000)
N (0.0000, 0.0000, 0.5000)
F (0.5000, 0.5000, 0.5000)

Values from the calculation:
VASP energy: -3.309 eV per atom
Offset from the most stable computed form: 0 meV per atom

Record 3
Entry from the Alexandria database: a geometry-optimized TiNiN2F structure (PBE+U).

a = 3.7480 Å, b = 3.7480 Å, c = 3.6161 Å
α = 90.00°, β = 90.00°, γ = 90.00°
Fractional coordinates of all 5 atoms:
Ti (0.0000, 0.0000, 0.0000)
Ni (0.5000, 0.5000, 0.5000)
N (0.0000, 0.5000, 0.5000)
N (0.5000, 0.0000, 0.5000)
F (0.5000, 0.5000, 0.0000)

Values from the calculation:
VASP energy: -5.671 eV per atom
Offset from the most stable computed form: 383 meV per atom

Record 4
Entry from the Alexandria database: a geometry-optimized TiNiNF2 structure (PBE+U).

a = 3.9299 Å, b = 3.9299 Å, c = 3.9261 Å
α = 90.00°, β = 90.00°, γ = 90.00°
Fractional coordinates of all 5 atoms:
Ti (0.0000, 0.0000, 0.0000)
Ni (0.5000, 0.5000, 0.5000)
N (0.0000, 0.0000, 0.5000)
F (0.0000, 0.5000, 0.0000)
F (0.5000, 0.0000, 0.0000)

Values from the calculation:
VASP energy: -5.837 eV per atom
Offset from the most stable computed form: 0 meV per atom

Record 5
Entry from the Alexandria database: a geometry-optimized TiNiN2F structure (PBE+U).

a = 3.9349 Å, b = 3.9349 Å, c = 3.8406 Å
α = 90.00°, β = 90.00°, γ = 90.00°
Fractional coordinates of all 5 atoms:
Ti (0.0000, 0.0000, 0.0000)
Ni (0.5000, 0.5000, 0.5000)
N (0.0000, 0.5000, 0.0000)
N (0.5000, 0.0000, 0.0000)
F (0.0000, 0.0000, 0.5000)

Values from the calculation:
VASP energy: -6.054 eV per atom
Offset from the most stable computed form: 0 meV per atom

Record 6
Entry from the Alexandria database: a geometry-optimized TiNiNF2 structure (PBE+U).

a = 3.6656 Å, b = 3.6656 Å, c = 4.3436 Å
α = 90.00°, β = 90.00°, γ = 90.00°
Fractional coordinates of all 5 atoms:
Ti (0.0000, 0.0000, 0.0000)
Ni (0.5000, 0.5000, 0.5000)
N (0.5000, 0.5000, 0.0000)
F (0.0000, 0.5000, 0.5000)
F (0.5000, 0.0000, 0.5000)

Values from the calculation:
VASP energy: -5.275 eV per atom
Offset from the most stable computed form: 562 meV per atom